Record 1
## Cs2HfRe2 (PBE)

Data for a relaxed Cs2HfRe2 crystal.

## Properties
* DFT formation energy: 1.446 eV/atom
* polymorph energy (0 for the lowest one): 0.0000 eV/atom

a b c (Å): 6.791 6.791 6.549
angles (deg): 90.00 90.00 90.00
Element x y z (fractional)
Cs1 0.180 0.320 0.000
Cs2 0.320 0.820 0.000
Cs3 0.680 0.180 0.000
Cs4 0.820 0.680 0.000
Hf1 0.000 0.000 0.500
Hf2 0.500 0.500 0.500
Re1 0.123 0.623 0.500
Re2 0.377 0.123 0.500
Re3 0.623 0.877 0.500
Re4 0.877 0.377 0.500


Record 2
## CsHfRe2 (PBE)

Data for a relaxed CsHfRe2 crystal.

## Properties
* DFT formation energy: 1.763 eV/atom
* polymorph energy (0 for the lowest one): 0.0000 eV/atom

a b c (Å): 10.049 10.049 10.049
angles (deg): 151.30 151.30 41.03
Element x y z (fractional)
Cs1 0.000 0.000 0.000
Cs2 0.750 0.250 0.500
Hf1 0.250 0.750 0.500
Hf2 0.500 0.500 0.000
Re1 0.333 0.625 0.208
Re2 0.375 0.583 0.708
Re3 0.417 0.125 0.792
Re4 0.875 0.667 0.292


Record 3
## Cs2YHfRe (PBE)

Data for a relaxed Cs2YHfRe crystal.

## Properties
* DFT formation energy: 1.641 eV/atom

a b c (Å): 6.009 6.009 5.161
angles (deg): 90.00 90.00 90.00
Element x y z (fractional)
Cs1 0.000 0.500 0.000
Cs2 0.500 0.000 0.000
Y1 0.000 0.000 0.500
Hf1 0.500 0.500 0.500
Re1 0.500 0.500 0.000


Record 4
## CsHf2Rh (PBE)

Data for a relaxed CsHf2Rh crystal.

## Properties
* DFT formation energy: 0.935 eV/atom
* polymorph energy (0 for the lowest one): 0.1054 eV/atom

a b c (Å): 9.187 9.187 9.187
angles (deg): 140.61 140.61 56.92
Element x y z (fractional)
Cs1 0.375 0.625 0.750
Cs2 0.625 0.375 0.250
Hf1 0.000 0.000 0.000
Hf2 0.000 0.000 0.500
Hf3 0.000 0.500 0.000
Hf4 0.500 0.000 0.500
Rh1 0.125 0.875 0.250
Rh2 0.875 0.125 0.750